Na3NdV4O12 | PBE+U | relaxed

The structure belongs to space group R32 (No. 155, hexagonal axes); the cell edges are 11.4103, 11.4103 and 8.4085 Å and the angles 90.00°, 90.00° and 120.00°. The distinct sites, in fractional coordinates, are Na at (0.0000, 0.5461, 0.0000), Nd at (0.0000, 0.0000, 0.0000), V at (0.0000, 0.0000, 0.5000), V at (0.0000, 0.4562, 0.5000), O at (0.0000, 0.6009, 0.5000), O at (0.0000, 0.8528, 0.5000) and O at (0.0201, 0.1883, 0.1643).

For the total energy, the calculation gives -6.640 eV per atom.